No. 1
Below is an optimized crystal structure of BaOsBr2, with properties calculated at the PBE-GGA level.

The value obtained for the energy relative to the lowest polymorph listed for this composition is 0.72 eV per formula unit. Its uncorrected formation energy is 37 kJ/mol of formula units.

It has space group I-42d (No. 122), with a = 5.5409 Å, b = 5.5409 Å, c = 16.1175 Å, α = 90.00°, β = 90.00° and γ = 90.00°. The asymmetric unit holds Ba at (0.0000, 0.0000, 0.0000), Os at (0.0000, 0.0000, 0.5000) and Br at (0.1449, 0.2500, 0.6250).

***

No. 2
Below is an optimized crystal structure of HoTmNiPd, with properties calculated at the PBE-GGA level.

As for the formation energy from the elements: -0.663 eV per atom. The value obtained for the energy relative to the lowest polymorph listed for this composition is 0.13 eV per formula unit.

It has space group F-43m (No. 216), with a = 6.8462 Å, b = 6.8462 Å, c = 6.8462 Å, α = 90.00°, β = 90.00° and γ = 90.00°. The asymmetric unit holds Ho at (0.0000, 0.0000, 0.0000), Tm at (0.0000, 0.0000, 0.5000), Ni at (0.2500, 0.2500, 0.2500) and Pd at (0.2500, 0.2500, 0.7500).

***

No. 3
Below is an optimized crystal structure of ScCr2Cl, with properties calculated at the PBE-GGA level.

The value obtained for the energy relative to the lowest polymorph listed for this composition is 1.21 eV per formula unit. Its uncorrected formation energy is 42 kJ/mol of formula units.

It has space group Pmmm (No. 47), with a = 3.1817 Å, b = 3.9828 Å, c = 5.6252 Å, α = 90.00°, β = 90.00° and γ = 90.00°. The asymmetric unit holds Sc at (0.0000, 0.0000, 0.0000), Cr at (0.0000, 0.5000, 0.5000), Cr at (0.5000, 0.0000, 0.5000) and Cl at (0.5000, 0.5000, 0.0000).